[1]
Below is a relaxed structure of SiNiHgPt, with properties calculated at the PBE level.

```
4
Lattice="0.921 -3.665 2.320 -3.027 -1.695 2.761 -2.018 -3.820 -0.997" Properties=species:S:1:pos:R:3 pbc="T T T"
Hg -2.062 -4.590 2.042
Si 0.000 0.000 0.000
Ni -3.092 -6.885 3.063
Pt -1.031 -2.295 1.021
```

## Properties
Volume ... 61.6 Å³ per cell
Electronic total energy ... -17.03 eV per formula unit
Space-group type ... No. 216

[2]
Below is a relaxed structure of NiSnHgPt, with properties calculated at the PBE level.

```
4
Lattice="0.000 3.270 3.270 3.270 0.000 3.270 3.270 3.270 0.000" Properties=species:S:1:pos:R:3 pbc="T T T"
Pt 1.635 1.635 1.635
Hg 3.270 3.270 3.270
Ni 4.905 4.905 4.905
Sn 0.000 0.000 0.000
```

## Properties
Volume ... 69.9 Å³ per cell
Electronic total energy ... -16.02 eV per formula unit
Space-group type ... No. 216

[3]
Below is a relaxed structure of TlNiHgPt, with properties calculated at the PBE level.

```
4
Lattice="-2.507 -3.560 -1.639 -3.447 0.780 -3.025 0.457 -1.318 -4.438" Properties=species:S:1:pos:R:3 pbc="T T T"
Ni -4.122 -3.073 -6.827
Hg -2.748 -2.049 -4.551
Pt -1.374 -1.024 -2.276
Tl 0.000 0.000 0.000
```

## Properties
Volume ... 71.2 Å³ per cell
Electronic total energy ... -13.53 eV per formula unit
Space-group type ... No. 216

[4]
Below is a relaxed structure of ZnNiHgPt, with properties calculated at the PBE level.

```
4
Lattice="0.000 3.141 3.141 3.141 0.000 3.141 3.141 3.141 0.000" Properties=species:S:1:pos:R:3 pbc="T T T"
Pt 1.570 1.570 1.570
Ni 4.711 4.711 4.711
Zn 0.000 0.000 0.000
Hg 3.141 3.141 3.141
```

## Properties
Volume ... 62.0 Å³ per cell
Space-group type ... No. 216
DFT formation energy ... -51 meV/atom

[5]
Below is a relaxed structure of ReNiHgSb, with properties calculated at the PBE level.

```
4
Lattice="-3.033 -3.585 0.293 -1.621 -1.373 4.199 -4.487 0.804 1.167" Properties=species:S:1:pos:R:3 pbc="T T T"
Hg -2.285 -1.039 1.415
Re -4.571 -2.077 2.829
Ni -6.856 -3.116 4.244
Sb 0.000 0.000 0.000
```

## Properties
Volume ... 73.7 Å³ per cell
Electronic total energy ... -18.22 eV per formula unit
Space-group type ... No. 216

[6]
Below is a relaxed structure of ReSiNiHg, with properties calculated at the PBE level.

```
4
Lattice="0.000 3.142 3.142 3.142 0.000 3.142 3.142 3.142 0.000" Properties=species:S:1:pos:R:3 pbc="T T T"
Ni 4.713 4.713 4.713
Hg 1.571 1.571 1.571
Re 3.142 3.142 3.142
Si 0.000 0.000 0.000
```

## Properties
Volume ... 62.0 Å³ per cell
Electronic total energy ... -19.73 eV per formula unit
Space-group type ... No. 216

[7]
Below is a relaxed structure of TlReNiHg, with properties calculated at the PBE level.

```
4
Lattice="0.000 3.298 3.298 3.298 0.000 3.298 3.298 3.298 0.000" Properties=species:S:1:pos:R:3 pbc="T T T"
Ni 4.946 4.946 4.946
Hg 1.649 1.649 1.649
Tl 0.000 0.000 0.000
Re 3.298 3.298 3.298
```

## Properties
Volume ... 71.7 Å³ per cell
Electronic total energy ... -16.34 eV per formula unit
Space-group type ... No. 216

[8]
Below is a relaxed structure of NiHg3S, with properties calculated at the PBE level.

```
5
Lattice="-3.888 -3.012 1.717 -0.522 -2.041 -4.764 3.428 -3.728 1.222" Properties=species:S:1:pos:R:3 pbc="T T T"
S -0.491 -4.391 -0.913
Hg -0.230 -3.370 1.469
Hg -2.205 -2.527 -1.524
Hg 1.453 -2.885 -1.771
Ni 0.000 0.000 0.000
```

## Properties
Volume ... 141.4 Å³ per cell
Electronic total energy ... -6.12 eV per formula unit
Space-group type ... No. 221

[9]
Below is a relaxed structure of ScSiNiHg, with properties calculated at the PBE level.

```
4
Lattice="-3.976 -0.455 -2.132 -3.107 3.291 0.272 -0.928 2.547 -3.634" Properties=species:S:1:pos:R:3 pbc="T T T"
Si 0.000 0.000 0.000
Ni -6.008 4.037 -4.121
Hg -4.005 2.692 -2.747
Sc -2.003 1.346 -1.374
```

## Properties
Volume ... 65.9 Å³ per cell
Electronic total energy ... -18.34 eV per formula unit
Space-group type ... No. 216

[10]
Below is a relaxed structure of ScSiNiHg, with properties calculated at the PBE level.

```
4
Lattice="0.007 -1.953 4.115 1.296 2.392 3.654 -3.080 1.244 3.117" Properties=species:S:1:pos:R:3 pbc="T T T"
Si 0.000 0.000 0.000
Sc -0.888 0.842 5.443
Hg -0.444 0.421 2.721
Ni -1.333 1.263 8.164
```

## Properties
Volume ... 66.8 Å³ per cell
Electronic total energy ... -18.05 eV per formula unit
Space-group type ... No. 216

[11]
Below is a relaxed structure of ScNiSnHg, with properties calculated at the PBE level.

```
4
Lattice="-2.625 3.623 1.565 0.087 4.151 -2.287 -3.786 1.424 -2.471" Properties=species:S:1:pos:R:3 pbc="T T T"
Sc -1.581 2.300 -0.798
Hg -3.162 4.599 -1.597
Sn 0.000 0.000 0.000
Ni -4.743 6.899 -2.395
```

## Properties
Volume ... 75.3 Å³ per cell
Electronic total energy ... -17.07 eV per formula unit
Space-group type ... No. 216

[12]
Below is a relaxed structure of ScNiSnHg, with properties calculated at the PBE level.

```
4
Lattice="0.000 3.373 3.373 3.373 0.000 3.373 3.373 3.373 0.000" Properties=species:S:1:pos:R:3 pbc="T T T"
Ni 5.059 5.059 5.059
Sc 3.373 3.373 3.373
Sn 0.000 0.000 0.000
Hg 1.686 1.686 1.686
```

## Properties
Volume ... 76.7 Å³ per cell
Electronic total energy ... -16.99 eV per formula unit
Space-group type ... No. 216